Material: Tm2ZrGe2
Method: DFT, GGA-PBE
State: relaxed

a b c (Å): 7.1011 7.3549 8.9244
angles (deg): 90.00 105.83 90.00
Fractional positions:
Tm 0.5400 0.1827 0.1064
Tm 0.0400 0.3173 0.1064
Tm 0.9600 0.6827 0.8936
Tm 0.4600 0.8173 0.8936
Tm 0.7487 0.6469 0.2580
Tm 0.2487 0.8531 0.2580
Tm 0.7513 0.1469 0.7420
Tm 0.2513 0.3531 0.7420
Zr 0.4597 0.3300 0.4048
Zr 0.5403 0.6700 0.5952
Zr 0.9597 0.1700 0.4048
Zr 0.0403 0.8300 0.5952
Ge 0.8579 0.9642 0.0909
Ge 0.3579 0.5358 0.0909
Ge 0.6421 0.4642 0.9091
Ge 0.1421 0.0358 0.9091
Ge 0.8545 0.4647 0.5805
Ge 0.3545 0.0353 0.5805
Ge 0.6455 0.9647 0.4195
Ge 0.1455 0.5353 0.4195

Properties
- Formation energy from the elements: -0.676 eV per atom
- Calculated density: 8.51 g/cm³
- Symmetry: P2_1/c, No. 14

Material: LiNpPd6
Method: DFT, GGA-PBE
State: relaxed

a b c (Å): 4.0179 5.6901 5.6901
angles (deg): 89.99 90.00 90.00
Fractional positions:
Li 0.5000 0.5000 0.5000
Np 0.5000 0.0000 0.0000
Pd 0.0000 0.7470 0.2530
Pd 0.0000 0.2530 0.7470
Pd 0.0000 0.7470 0.7470
Pd 0.0000 0.2530 0.2530
Pd 0.5000 0.5000 0.0000
Pd 0.5000 0.0000 0.5000

Properties
- Formation energy from the elements: -0.395 eV per atom
- Calculated density: 11.26 g/cm³
- Symmetry: P4/mmm, No. 123

Material: TcIr2Pt
Method: DFT, GGA-PBE
State: relaxed

a b c (Å): 4.7924 4.7924 4.7671
angles (deg): 80.82 80.82 33.10
Fractional positions:
Ir 0.9957 0.9957 0.0081
Ir 0.5043 0.5043 0.4919
Tc 0.2500 0.2500 0.2500
Pt 0.7500 0.7500 0.7500

Properties
- Formation energy from the elements: -0.092 eV per atom
- Calculated density: 19.08 g/cm³
- Symmetry: C2/m, No. 12
- Polymorph energy (0 for the lowest one): 49 meV per atom

VASP energy values, unit eV per atom, following the record order: -6.021, -6.146, -8.624.